Record 1
The following is a PBE calculation of a geometry-optimized LaVN3 structure, from Alexandria.

Properties
* density of states at the Fermi level: 0.309 states/eV/atom
* formation energy without anion corrections: -0.8786 eV/atom

abc: 4.688 6.210 5.136
angles: 91.77 85.33 122.63
Atoms (fractional coordinates):
V 0.487 0.575 0.377
V 0.228 0.490 0.905
La 0.037 0.886 0.864
La 0.679 0.179 0.419
N 0.990 0.739 0.370
N 0.726 0.326 0.913
N 0.193 0.668 0.240
N 0.487 0.781 0.702
N 0.228 0.284 0.581
N 0.523 0.397 0.043

Record 2
The following is a PBE calculation of a geometry-optimized Ni3OsRh4 structure, from Alexandria.

Properties
* density of states at the Fermi level: 1.566 states/eV/atom
* ΔH_f (0 K): 0.0553 eV/atom

abc: 3.758 4.557 7.010
angles: 88.78 74.45 65.65
Atoms (fractional coordinates):
Ni 0.741 0.761 0.756
Ni 0.259 0.239 0.244
Ni 0.500 0.500 0.500
Os 0.000 0.000 0.000
Rh 0.875 0.872 0.378
Rh 0.125 0.128 0.622
Rh 0.375 0.377 0.872
Rh 0.625 0.623 0.128

Record 3
The following is a PBE calculation of a geometry-optimized Pm5Mg2Sn structure, from Alexandria.

Properties
* density of states at the Fermi level: 1.361 states/eV/atom
* ΔH_f (0 K): -0.1627 eV/atom

abc: 8.113 8.113 9.497
angles: 115.28 115.28 90.00
Atoms (fractional coordinates):
Pm 0.503 0.679 0.682
Pm 0.821 0.997 0.318
Pm 0.000 0.000 0.000
Pm 0.500 0.500 0.000
Pm 0.179 0.003 0.682
Pm 0.679 0.179 0.682
Pm 0.003 0.503 0.682
Pm 0.321 0.821 0.318
Pm 0.997 0.497 0.318
Pm 0.497 0.321 0.318
Mg 0.127 0.373 0.000
Mg 0.627 0.127 0.000
Mg 0.373 0.873 0.000
Mg 0.873 0.627 0.000
Sn 0.750 0.750 0.500
Sn 0.250 0.250 0.500

Record 4
The following is a PBE calculation of a geometry-optimized Pr6YEr2Th structure, from Alexandria.

Properties
* density of states at the Fermi level: 1.425 states/eV/atom
* ΔH_f (0 K): 0.1391 eV/atom

abc: 9.810 8.929 8.929
angles: 116.44 94.30 94.30
Atoms (fractional coordinates):
Pr 0.057 0.107 0.761
Pr 0.443 0.239 0.893
Pr 0.943 0.893 0.239
Pr 0.557 0.761 0.107
Pr 0.314 0.990 0.426
Pr 0.186 0.574 0.010
Pr 0.686 0.010 0.574
Pr 0.814 0.426 0.990
Pr 0.119 0.702 0.488
Pr 0.381 0.512 0.298
Pr 0.881 0.298 0.512
Pr 0.619 0.488 0.702
Y 0.250 0.408 0.592
Y 0.750 0.592 0.408
Er 0.449 0.800 0.711
Er 0.051 0.289 0.200
Er 0.551 0.200 0.289
Er 0.949 0.711 0.800
Th 0.250 0.970 0.030
Th 0.750 0.030 0.970

Record 5
The following is a PBE calculation of a geometry-optimized CaLa3In4 structure, from Alexandria.

Properties
* density of states at the Fermi level: 0.858 states/eV/atom
* ΔH_f (0 K): -0.5013 eV/atom

abc: 3.800 3.800 16.762
angles: 90.00 90.00 90.00
Atoms (fractional coordinates):
Ca 0.500 0.500 0.000
In 0.000 0.000 0.885
In 0.000 0.000 0.115
In 0.000 0.000 0.371
In 0.000 0.000 0.629
La 0.500 0.500 0.243
La 0.500 0.500 0.500
La 0.500 0.500 0.757

Record 6
The following is a PBE calculation of a geometry-optimized AgW2Br2 structure, from Alexandria.

Properties
* density of states at the Fermi level: 0.907 states/eV/atom
* formation energy without anion corrections: 1.4941 eV/atom
* energy above the lowest structure with this stoichiometry: 0.518 eV/atom

abc: 7.962 7.962 2.893
angles: 90.00 90.00 90.00
Atoms (fractional coordinates):
Br 0.367 0.867 0.000
Br 0.867 0.633 0.000
Br 0.633 0.133 0.000
Br 0.133 0.367 0.000
Ag 0.000 0.000 0.000
Ag 0.500 0.500 0.000
W 0.176 0.676 0.500
W 0.676 0.824 0.500
W 0.824 0.324 0.500
W 0.324 0.176 0.500

Record 7
The following is a PBE calculation of a geometry-optimized Na2LiMgCl5 structure, from Alexandria.

Properties
* density of states at the Fermi level: 0.000 states/eV/atom
* formation energy without anion corrections: -1.7702 eV/atom

abc: 3.947 8.102 13.314
angles: 90.00 90.00 104.10
Atoms (fractional coordinates):
Na 0.842 0.684 0.790
Na 0.095 0.191 0.656
Na 0.158 0.316 0.290
Na 0.905 0.809 0.156
Li 0.772 0.544 0.531
Li 0.228 0.456 0.031
Mg 0.543 0.085 0.947
Mg 0.457 0.915 0.447
Cl 0.387 0.774 0.996
Cl 0.696 0.392 0.909
Cl 0.500 0.000 0.774
Cl 0.266 0.533 0.670
Cl 0.937 0.874 0.551
Cl 0.613 0.226 0.496
Cl 0.304 0.608 0.409
Cl 0.500 0.000 0.274
Cl 0.734 0.467 0.170
Cl 0.063 0.126 0.051

Record 8
The following is a PBE calculation of a geometry-optimized Li4TbGa2 structure, from Alexandria.

Properties
* density of states at the Fermi level: 0.674 states/eV/atom
* ΔH_f (0 K): -0.2519 eV/atom

abc: 3.961 4.220 8.537
angles: 104.31 90.00 90.00
Atoms (fractional coordinates):
Li 0.500 0.822 0.645
Li 0.000 0.680 0.360
Li 0.500 0.178 0.355
Li 0.000 0.320 0.640
Tb 0.000 0.000 0.000
Ga 0.500 0.576 0.153
Ga 0.500 0.424 0.847